6
Lattice="-1.0238 -2.1235 4.7088 2.0523 -4.7147 1.1359 3.8886 -0.2664 3.5411" Properties=species:S:1:pos:R:3 comment="Er2Al3Co (PBEsol, optimized geometry)" e_form_mev_per_atom=-465 pbc="T T T"
Al 1.0261 -2.3573 0.5679
Al 1.9443 -0.1332 1.7705
Al -0.5119 -1.0617 2.3544
Er 1.8388 -2.6569 3.5100
Er 3.0782 -4.4476 5.8757
Co 0.0000 0.0000 0.0000

---

5
Lattice="4.2130 0.0000 0.0000 0.0000 4.2130 0.0000 0.0000 0.0000 5.7704" Properties=species:S:1:pos:R:3 comment="InSe2SF (PBEsol, optimized geometry)" e_form_raw_mev_per_atom=191 pbc="T T T"
F 0.0000 0.0000 0.0000
Se 2.1065 0.0000 0.0000
Se 0.0000 2.1065 0.0000
In 2.1065 2.1065 2.8852
S 0.0000 0.0000 2.8852

---

40
Lattice="6.1692 -0.0533 0.0000 -0.7486 7.4776 0.0000 0.0000 0.0000 13.2919" Properties=species:S:1:pos:R:3 comment="RbAgP2O6 (PBEsol, optimized geometry)" e_form_raw_mev_per_atom=-1904 pbc="T T T"
O 1.1574 4.9247 11.7299
O 3.6587 4.8368 2.2390
O 4.9556 3.4004 3.8372
O 5.4370 3.0937 11.4171
O 2.1806 6.8016 1.9785
O 4.0330 1.0980 4.4069
O 0.7878 4.6302 7.0665
O 2.8658 4.3615 8.6244
O 0.8393 0.2851 10.4832
O 3.8890 6.2384 5.0840
O 3.2401 0.6227 11.3134
O 2.5548 3.0628 4.6675
O 4.2586 6.5329 0.4205
O 0.3579 0.5918 4.7712
O 1.3876 6.3263 8.8849
O 5.0627 6.8325 8.5207
O 4.2633 2.4996 1.5619
O -0.0164 4.3306 1.8748
O 0.4651 4.0239 9.4547
O 1.1621 0.8914 12.8713
O 1.7619 2.5875 11.0529
O 4.5813 7.1392 2.8087
O 1.5316 1.1859 8.2079
O 4.6329 2.7941 6.2254
Rb 1.1866 5.5075 4.4103
Rb 3.8598 5.6556 11.0562
Rb 1.5609 1.7687 2.2357
Rb 4.2341 1.9169 8.8816
P 3.9763 2.6428 4.8817
P 0.2291 7.4525 8.8907
P 1.4443 4.7816 8.4102
P 1.8186 1.0428 11.5276
P 0.6034 3.7137 11.0471
P 3.6021 6.3816 1.7643
P 4.8173 3.7106 2.2448
P 5.1916 -0.0282 4.4012
Ag 0.5460 6.0522 0.3603
Ag 4.5004 5.1109 7.0062
Ag 0.9203 2.3134 6.2857
Ag 4.8747 1.3721 12.9316

---

4
Lattice="-2.9955 2.3188 0.2808 -1.9647 -2.2545 -2.3422 -2.5266 -3.9850 5.9553" Properties=species:S:1:pos:R:3 comment="Ca2TlIn (PBEsol, optimized geometry)" e_form_mev_per_atom=-504 pbc="T T T"
Tl -3.7434 -1.9604 1.9469
Ca -0.6314 -0.9959 1.4883
Ca -1.8951 -2.9891 4.4669
In -2.4801 0.0321 -1.0307

---

4
Lattice="3.8049 0.0000 0.0000 0.0000 5.4125 0.0000 -1.9024 -2.7062 5.4478" Properties=species:S:1:pos:R:3 comment="La2MgHg (PBEsol, optimized geometry)" e_form_mev_per_atom=-310 pbc="T T T"
Mg 1.9024 0.0000 0.3670
Hg 0.0000 0.0000 2.4867
La 1.9024 2.7062 2.7855
La 1.9024 0.0000 5.2564

---

64
Lattice="9.4676 -0.0137 -0.0257 -0.0324 9.4995 -0.0102 -3.5416 -3.5513 9.7753" Properties=species:S:1:pos:R:3 comment="CdP4O11 (PBEsol, optimized geometry)" e_form_raw_mev_per_atom=-1989 pbc="T T T"
O 7.6351 0.8104 1.2808
O 6.5017 0.5679 6.9654
O 2.2255 -0.8619 3.3285
O 4.7335 2.6289 0.3223
O 2.4013 5.5901 3.6776
O 4.1978 3.8071 3.3576
O 2.0606 0.4866 8.1734
O 3.8330 5.4479 1.5659
O 5.8050 3.6576 9.3100
O 5.9230 2.7300 4.8211
O 0.0886 2.2769 0.4294
O -1.1042 0.7387 8.8030
O 3.4922 0.3443 6.0617
O 2.5959 0.4012 1.1621
O 4.3277 0.5486 3.0892
O -1.8747 2.8136 7.6688
O 0.8527 0.8946 4.3772
O -0.0782 -0.4833 2.5141
O 7.0977 7.9726 1.8591
O 5.0409 5.0399 5.3622
O 3.9649 7.8971 1.8450
O 3.6786 -0.9660 9.3942
O -1.7415 5.1241 8.4586
O 3.2977 5.5333 8.5772
O 1.6958 2.1274 6.3818
O -1.2041 -2.0381 7.8803
O -1.4820 5.6694 5.9759
O 6.9977 5.1958 0.9364
O 3.7740 2.3217 7.7134
O 5.5471 7.5466 4.9239
O 5.9718 6.4178 7.2252
O 1.9287 -1.9626 7.8943
O -0.6081 5.3666 2.7739
O 2.1196 3.6128 2.0259
O 7.7683 3.1209 2.0705
O 1.5659 5.3859 6.6501
O 7.3756 0.2651 3.7635
O -0.6079 1.1270 6.3480
O 3.6681 6.7964 6.4109
O 0.3464 -1.6121 4.8154
O 6.5015 4.8074 3.3914
O -0.0294 3.2045 4.9183
O 2.2150 6.9005 0.3451
O 1.1601 3.3056 9.4170
Cd 0.3944 5.5209 4.7569
Cd 3.5153 3.5500 9.5505
Cd 2.3782 2.3844 0.1889
Cd 5.4992 0.4136 4.9824
P 3.7486 6.7842 0.7598
P -2.2710 3.7235 8.8907
P 0.4195 1.9338 5.4955
P 2.5769 6.1383 7.4266
P 5.1153 6.5361 5.9009
P 8.1645 2.2110 0.8486
P 2.1450 -0.8497 8.9796
P 3.3167 -0.2038 2.3127
P -1.7236 1.1847 7.5277
P 5.4741 4.0007 4.2438
P 7.6172 4.7497 2.2117
P 2.9258 1.3052 7.0503
P 0.7783 -0.6016 3.8385
P 7.7539 -0.3134 2.4470
P -1.8603 6.2479 7.2923
P 2.9678 4.6293 2.6890